{"formula": "In2MoOs", "functional": "PBE-GGA", "state": "relaxed", "lattice_angstrom": [[3.0965, 0.0000, 0.0000], [0.0000, 4.9774, 0.0000], [0.0000, 0.0000, 4.6871]], "species": ["Os", "Mo", "In", "In"], "fractional_positions": [[0.0000, 0.5000, 0.5000], [0.5000, 0.0000, 0.5000], [0.0000, 0.0000, 0.0000], [0.5000, 0.5000, 0.0000]], "n_ef_per_ev_cell": 2.9, "final_energy_ev_per_atom": -6.277, "e_form_ev_per_atom": 0.608, "polymorph_energy_ev_per_atom": 0.4717}



{"formula": "In2Mo2Os", "functional": "PBE-GGA", "state": "relaxed", "lattice_angstrom": [[-3.8073, -0.2564, 5.2815], [1.1685, -6.3880, 0.5322], [3.6040, 0.8793, 2.6408]], "species": ["In", "In", "In", "In", "Mo", "Mo", "Mo", "Mo", "Os", "Os"], "fractional_positions": [[0.8256, 0.3256, 0.5000], [0.6744, 0.8256, 0.5000], [0.3256, 0.1744, 0.5000], [0.1744, 0.6744, 0.5000], [0.6354, 0.1354, 0.0000], [0.1354, 0.3646, 0.0000], [0.3646, 0.8646, 0.0000], [0.8646, 0.6354, 0.0000], [0.0000, 0.0000, 0.0000], [0.5000, 0.5000, 0.0000]], "n_ef_per_ev_cell": 7.6, "final_energy_ev_per_atom": -7.104, "e_form_ev_per_atom": 0.570, "polymorph_energy_ev_per_atom": 0.0000}



{"formula": "In2MoOs", "functional": "PBE-GGA", "state": "relaxed", "lattice_angstrom": [[-2.4165, 0.9751, -3.8602], [-3.0984, -3.0640, -1.6440], [-4.5571, 0.9207, 0.2757]], "species": ["In", "In", "Mo", "Os"], "fractional_positions": [[0.0000, 0.0000, 0.0000], [0.2500, 0.2500, 0.2500], [0.5000, 0.5000, 0.5000], [0.7500, 0.7500, 0.7500]], "n_ef_per_ev_cell": 4.6, "final_energy_ev_per_atom": -6.260, "e_form_ev_per_atom": 0.624, "polymorph_energy_ev_per_atom": 0.4881}



{"formula": "In2MoOs", "functional": "PBE-GGA", "state": "relaxed", "lattice_angstrom": [[-0.3867, -2.7946, -1.1188], [1.9175, -1.0976, 2.0807], [-6.4270, -1.2236, 5.2774]], "species": ["Mo", "In", "In", "Os"], "fractional_positions": [[0.0000, 0.0000, 0.5398], [0.5000, 0.5000, 0.2878], [0.0000, 0.0000, 0.9575], [0.5000, 0.5000, 0.7149]], "n_ef_per_ev_cell": 2.4, "final_energy_ev_per_atom": -6.680, "e_form_ev_per_atom": 0.204, "polymorph_energy_ev_per_atom": 0.0681}



{"formula": "InMo4Os", "functional": "PBE-GGA", "state": "relaxed", "lattice_angstrom": [[-3.5370, -3.3688, 1.8515], [-4.2456, 1.7687, 2.4767], [-4.6911, -0.3710, -2.2678]], "species": ["In", "Mo", "Mo", "Mo", "Mo", "Os"], "fractional_positions": [[0.0000, 0.0000, 0.0000], [0.3736, 0.8791, 0.3736], [0.3736, 0.3736, 0.8791], [0.3736, 0.3736, 0.3736], [0.8791, 0.3736, 0.3736], [0.7500, 0.7500, 0.7500]], "n_ef_per_ev_cell": 6.9, "final_energy_ev_per_atom": -9.108, "e_form_ev_per_atom": 0.441}



{"formula": "In2MoOs", "functional": "PBE-GGA", "state": "relaxed", "lattice_angstrom": [[6.1391, 0.0292, 0.0016], [3.5805, 4.9868, -0.0016], [-4.2943, -3.6038, 2.5021]], "species": ["In", "In", "Os", "Mo"], "fractional_positions": [[0.9689, 0.9689, 0.0000], [0.2710, 0.7710, 0.5000], [0.7264, 0.2264, 0.5000], [0.5337, 0.5337, 0.0000]], "n_ef_per_ev_cell": 3.3, "final_energy_ev_per_atom": -6.428, "e_form_ev_per_atom": 0.457, "polymorph_energy_ev_per_atom": 0.3204}



{"formula": "In2MoOs", "functional": "PBE-GGA", "state": "relaxed", "lattice_angstrom": [[-3.4856, 1.5550, -3.3156], [-1.0925, -3.8156, -3.1320], [0.1587, 0.2433, 5.0474]], "species": ["In", "In", "Mo", "Os"], "fractional_positions": [[0.2500, 0.7500, 0.5000], [0.0000, 0.0000, 0.0000], [0.5000, 0.5000, 0.0000], [0.7500, 0.2500, 0.5000]], "n_ef_per_ev_cell": 3.8, "final_energy_ev_per_atom": -6.340, "e_form_ev_per_atom": 0.544, "polymorph_energy_ev_per_atom": 0.4080}



{"formula": "In2MoOs", "functional": "PBE-GGA", "state": "relaxed", "lattice_angstrom": [[-1.1800, 4.4221, -8.1419], [-3.5981, 2.6398, -8.2051], [-3.7089, 5.2716, -6.7596]], "species": ["Os", "In", "In", "Mo"], "fractional_positions": [[0.7500, 0.7500, 0.7500], [0.0023, 0.0023, 0.0023], [0.4977, 0.4977, 0.4977], [0.2500, 0.2500, 0.2500]], "n_ef_per_ev_cell": 3.7, "final_energy_ev_per_atom": -6.315, "e_form_ev_per_atom": 0.570, "polymorph_energy_ev_per_atom": 0.4335}



{"formula": "In2Mo2Os", "functional": "PBE-GGA", "state": "relaxed", "lattice_angstrom": [[-0.1290, -3.7012, 0.3977], [3.7212, -0.1386, -0.0831], [1.9812, -1.1703, 7.1927]], "species": ["Mo", "Mo", "In", "In", "Os"], "fractional_positions": [[0.4181, 0.4181, 0.1639], [0.5819, 0.5819, 0.8361], [0.2500, 0.7500, 0.5000], [0.7500, 0.2500, 0.5000], [0.0000, 0.0000, 0.0000]], "n_ef_per_ev_cell": 5.0, "final_energy_ev_per_atom": -6.604, "e_form_ev_per_atom": 1.070, "polymorph_energy_ev_per_atom": 0.5004}



{"formula": "In2MoOs", "functional": "PBE-GGA", "state": "relaxed", "lattice_angstrom": [[-4.1946, -0.8849, -1.6339], [1.2109, -1.1141, -2.5054], [0.4154, -5.0105, 1.6473]], "species": ["In", "In", "Mo", "Os"], "fractional_positions": [[0.0000, 0.5356, 0.5037], [0.0000, 0.9644, 0.9963], [0.5000, 0.2500, 0.2500], [0.5000, 0.7500, 0.7500]], "n_ef_per_ev_cell": 4.1, "final_energy_ev_per_atom": -6.286, "e_form_ev_per_atom": 0.598, "polymorph_energy_ev_per_atom": 0.4620}



{"formula": "In2MoOs", "functional": "PBE-GGA", "state": "relaxed", "lattice_angstrom": [[5.3686, 0.0062, 0.0360], [4.4997, 2.9282, 0.0360], [1.3761, 0.4092, 4.6522]], "species": ["Os", "Mo", "In", "In"], "fractional_positions": [[0.2293, 0.2293, 0.2332], [0.5224, 0.5224, 0.5157], [0.9830, 0.9830, 0.0427], [0.7654, 0.7654, 0.7084]], "n_ef_per_ev_cell": 2.5, "final_energy_ev_per_atom": -6.455, "e_form_ev_per_atom": 0.429, "polymorph_energy_ev_per_atom": 0.2928}



{"formula": "In2MoOs", "functional": "PBE-GGA", "state": "relaxed", "lattice_angstrom": [[-0.8249, 4.6842, 5.9254], [-7.5377, -0.1272, -0.9488], [-4.3570, 0.1146, 4.1745]], "species": ["In", "In", "In", "In", "Os", "Os", "Mo", "Mo"], "fractional_positions": [[0.3750, 0.3596, 0.7500], [0.1096, 0.6250, 0.2500], [0.8750, 0.8904, 0.7500], [0.6404, 0.1250, 0.2500], [0.7500, 0.2500, 0.5000], [0.0000, 0.0000, 0.0000], [0.2500, 0.7500, 0.5000], [0.5000, 0.5000, 0.0000]], "n_ef_per_ev_cell": 7.9, "final_energy_ev_per_atom": -5.876, "e_form_ev_per_atom": 1.009, "polymorph_energy_ev_per_atom": 0.8725}



{"formula": "In2MoOs", "functional": "PBE-GGA", "state": "relaxed", "lattice_angstrom": [[5.1643, 0.0036, 0.0000], [1.9216, 4.7934, 0.0000], [-3.5429, -2.3985, 2.8921]], "species": ["Os", "Mo", "In", "In"], "fractional_positions": [[0.7500, 0.2500, 0.5000], [0.2500, 0.7500, 0.5000], [0.5000, 0.5000, 0.0000], [0.0000, 0.0000, 0.0000]], "n_ef_per_ev_cell": 3.7, "final_energy_ev_per_atom": -6.246, "e_form_ev_per_atom": 0.638, "polymorph_energy_ev_per_atom": 0.5021}



{"formula": "In2MoOs", "functional": "PBE-GGA", "state": "relaxed", "lattice_angstrom": [[-2.9465, -0.1100, -4.7194], [-5.3767, -1.3516, 0.4806], [4.1143, 3.5337, 1.2457]], "species": ["In", "In", "Mo", "Os"], "fractional_positions": [[0.9917, 0.9917, 0.0000], [0.5083, 0.5083, 0.0000], [0.2500, 0.7500, 0.5000], [0.7500, 0.2500, 0.5000]], "n_ef_per_ev_cell": 2.8, "final_energy_ev_per_atom": -6.297, "e_form_ev_per_atom": 0.588, "polymorph_energy_ev_per_atom": 0.4518}



{"formula": "In2MoOs", "functional": "PBE-GGA", "state": "relaxed", "lattice_angstrom": [[0.0000, 3.2929, 3.2929], [3.2929, 0.0000, 3.2929], [3.2929, 3.2929, 0.0000]], "species": ["In", "In", "Os", "Mo"], "fractional_positions": [[0.2500, 0.2500, 0.2500], [0.7500, 0.7500, 0.7500], [0.5000, 0.5000, 0.5000], [0.0000, 0.0000, 0.0000]], "n_ef_per_ev_cell": 2.3, "final_energy_ev_per_atom": -6.300, "e_form_ev_per_atom": 0.584, "polymorph_energy_ev_per_atom": 0.4480}



{"formula": "InMoOs4", "functional": "PBE-GGA", "state": "relaxed", "lattice_angstrom": [[0.0000, 3.6629, 3.6629], [3.6629, 0.0000, 3.6629], [3.6629, 3.6629, 0.0000]], "species": ["Os", "Os", "Os", "Os", "In", "Mo"], "fractional_positions": [[0.3751, 0.8746, 0.3751], [0.3751, 0.3751, 0.3751], [0.8746, 0.3751, 0.3751], [0.3751, 0.3751, 0.8746], [0.7500, 0.7500, 0.7500], [0.0000, 0.0000, 0.0000]], "n_ef_per_ev_cell": 8.1, "final_energy_ev_per_atom": -9.161, "e_form_ev_per_atom": 0.587}



{"formula": "In2MoOs", "functional": "PBE-GGA", "state": "relaxed", "lattice_angstrom": [[4.6881, 0.0000, 0.0000], [0.0000, 4.6881, 0.0000], [0.0000, 0.0000, 3.2109]], "species": ["Os", "In", "In", "Mo"], "fractional_positions": [[0.0000, 0.5000, 0.5000], [0.5000, 0.5000, 0.0000], [0.0000, 0.0000, 0.0000], [0.5000, 0.0000, 0.5000]], "n_ef_per_ev_cell": 5.2, "final_energy_ev_per_atom": -6.272, "e_form_ev_per_atom": 0.613, "polymorph_energy_ev_per_atom": 0.4765}



{"formula": "In2MoOs", "functional": "PBE-GGA", "state": "relaxed", "lattice_angstrom": [[-2.6479, -1.1233, 0.8979], [-0.4712, -1.1164, -2.7864], [3.0914, -8.8411, -1.9444]], "species": ["In", "In", "Os", "Mo"], "fractional_positions": [[0.5000, 0.3799, 0.2879], [0.0000, 0.8786, 0.9563], [0.5000, 0.7378, 0.7165], [0.0000, 0.5036, 0.5393]], "n_ef_per_ev_cell": 2.5, "final_energy_ev_per_atom": -6.748, "e_form_ev_per_atom": 0.136, "polymorph_energy_ev_per_atom": 0.0000}



{"formula": "In2MoOs", "functional": "PBE-GGA", "state": "relaxed", "lattice_angstrom": [[9.6386, -0.0354, -0.0208], [9.1793, 2.9400, -0.0208], [9.1793, 1.4169, 2.5762]], "species": ["Mo", "In", "In", "Os"], "fractional_positions": [[0.4924, 0.4924, 0.4924], [0.2444, 0.2444, 0.2444], [0.0066, 0.0066, 0.0066], [0.7565, 0.7565, 0.7565]], "n_ef_per_ev_cell": 2.7, "final_energy_ev_per_atom": -6.565, "e_form_ev_per_atom": 0.319, "polymorph_energy_ev_per_atom": 0.1833}



{"formula": "In2MoOs", "functional": "PBE-GGA", "state": "relaxed", "lattice_angstrom": [[4.9194, 0.0028, -0.0022], [3.9811, 2.8900, -0.0022], [0.9692, 0.3150, 5.0312]], "species": ["In", "In", "Os", "Mo"], "fractional_positions": [[0.9965, 0.9965, 0.0056], [0.5035, 0.5035, 0.4944], [0.2500, 0.2500, 0.2500], [0.7500, 0.7500, 0.7500]], "n_ef_per_ev_cell": 2.4, "final_energy_ev_per_atom": -6.351, "e_form_ev_per_atom": 0.534, "polymorph_energy_ev_per_atom": 0.3976}



{"formula": "In2MoOs", "functional": "PBE-GGA", "state": "relaxed", "lattice_angstrom": [[-0.7364, 2.4537, -1.4486], [1.2316, -2.1112, -1.6394], [-8.3620, -3.5326, -1.7330]], "species": ["In", "In", "Os", "Mo"], "fractional_positions": [[0.0000, 0.0000, 0.9946], [0.0000, 0.0000, 0.5054], [0.5000, 0.5000, 0.7500], [0.5000, 0.5000, 0.2500]], "n_ef_per_ev_cell": 4.0, "final_energy_ev_per_atom": -6.257, "e_form_ev_per_atom": 0.628, "polymorph_energy_ev_per_atom": 0.4916}



{"formula": "InMoPOs2", "functional": "PBE-GGA", "state": "relaxed", "lattice_angstrom": [[4.8185, 0.0000, 0.0000], [0.0000, 4.5088, 0.0000], [0.0000, 0.0000, 4.8185]], "species": ["Os", "Os", "P", "Mo", "In"], "fractional_positions": [[0.0000, 0.0000, 0.5000], [0.5000, 0.0000, 0.0000], [0.0000, 0.5000, 0.0000], [0.0000, 0.0000, 0.0000], [0.5000, 0.5000, 0.5000]], "n_ef_per_ev_cell": 5.8, "final_energy_ev_per_atom": -6.785, "e_form_ev_per_atom": 1.503}



{"formula": "InMoOsPb2", "functional": "PBE-GGA", "state": "relaxed", "lattice_angstrom": [[5.2703, 0.0000, 0.0000], [0.0000, 5.1974, 0.0000], [0.0000, 0.0000, 5.2703]], "species": ["Pb", "Pb", "In", "Os", "Mo"], "fractional_positions": [[0.0000, 0.0000, 0.5000], [0.5000, 0.0000, 0.0000], [0.0000, 0.5000, 0.0000], [0.0000, 0.0000, 0.0000], [0.5000, 0.5000, 0.5000]], "n_ef_per_ev_cell": 2.9, "final_energy_ev_per_atom": -5.232, "e_form_ev_per_atom": 1.211}



{"formula": "Sc2InMoOs", "functional": "PBE-GGA", "state": "relaxed", "lattice_angstrom": [[-0.0424, 2.1130, -4.4535], [-4.7875, -1.7330, -0.7766], [-1.8171, 4.1333, 1.9784]], "species": ["Mo", "In", "Sc", "Sc", "Os"], "fractional_positions": [[0.5000, 0.5000, 0.5000], [0.0000, 0.5000, 0.0000], [0.0000, 0.0000, 0.5000], [0.5000, 0.0000, 0.0000], [0.0000, 0.0000, 0.0000]], "n_ef_per_ev_cell": 2.6, "final_energy_ev_per_atom": -6.795, "e_form_ev_per_atom": 0.697}



{"formula": "TiInMo2Os", "functional": "PBE-GGA", "state": "relaxed", "lattice_angstrom": [[-1.7164, -1.6353, 4.1351], [4.5167, 0.3185, 2.0007], [-0.9270, 4.4666, 1.3817]], "species": ["Ti", "In", "Mo", "Mo", "Os"], "fractional_positions": [[0.5000, 0.5000, 0.5000], [0.0000, 0.5000, 0.0000], [0.5000, 0.0000, 0.0000], [0.0000, 0.0000, 0.5000], [0.0000, 0.0000, 0.0000]], "n_ef_per_ev_cell": 8.0, "final_energy_ev_per_atom": -7.295, "e_form_ev_per_atom": 1.410}



{"formula": "InMo2P", "functional": "PBE-GGA", "state": "relaxed", "lattice_angstrom": [[3.5000, 0.0000, 0.0000], [0.0000, 3.1430, 0.0015], [0.0000, 1.0519, 6.0894]], "species": ["In", "Mo", "Mo", "P"], "fractional_positions": [[0.5000, 0.5000, 0.5000], [0.0000, 0.1321, 0.2017], [0.0000, 0.8679, 0.7983], [0.5000, 0.5000, 0.0000]], "n_ef_per_ev_cell": 2.3, "final_energy_ev_per_atom": -7.376, "e_form_ev_per_atom": 0.076, "polymorph_energy_ev_per_atom": 0.1548}



{"formula": "InMo2P", "functional": "PBE-GGA", "state": "relaxed", "lattice_angstrom": [[1.4550, -3.9865, 1.4653], [0.3461, -0.7817, 4.4074], [-2.8488, -2.8295, 2.0085]], "species": ["In", "Mo", "Mo", "P"], "fractional_positions": [[0.5000, 0.5000, 0.5000], [0.7500, 0.7500, 0.7500], [0.2500, 0.2500, 0.2500], [0.0000, 0.0000, 0.0000]], "n_ef_per_ev_cell": 7.1, "final_energy_ev_per_atom": -7.060, "e_form_ev_per_atom": 0.392, "polymorph_energy_ev_per_atom": 0.4711}



{"formula": "InMo2P", "functional": "PBE-GGA", "state": "relaxed", "lattice_angstrom": [[-6.9326, -4.3326, -2.1687], [-4.8116, -6.4851, -2.5157], [-6.0035, -5.9533, 0.2318]], "species": ["Mo", "Mo", "In", "P"], "fractional_positions": [[0.7624, 0.7624, 0.7624], [0.2376, 0.2376, 0.2376], [0.0000, 0.0000, 0.0000], [0.5000, 0.5000, 0.5000]], "n_ef_per_ev_cell": 2.2, "final_energy_ev_per_atom": -7.378, "e_form_ev_per_atom": 0.075, "polymorph_energy_ev_per_atom": 0.1534}



{"formula": "InMo2P", "functional": "PBE-GGA", "state": "relaxed", "lattice_angstrom": [[-1.6672, 2.4787, 4.0817], [1.6672, -2.4787, 4.0817], [1.6672, 2.4787, -4.0817]], "species": ["In", "P", "Mo", "Mo"], "fractional_positions": [[0.0000, 0.5000, 0.5000], [0.5000, 0.0000, 0.5000], [0.3005, 0.3005, 0.0000], [0.6995, 0.6995, 0.0000]], "n_ef_per_ev_cell": 2.6, "final_energy_ev_per_atom": -7.358, "e_form_ev_per_atom": 0.095, "polymorph_energy_ev_per_atom": 0.1738}